Mg2NiHPt: relaxed, PBE.

a = 4.4352 Å, b = 4.4352 Å, c = 3.2077 Å
α = 90.00°, β = 90.00°, γ = 90.00°
Last column: nearest neighbours and their distance in Å.
Space group P4/mmm (No. 123)
Symmetry-distinct sites (fractional):
Mg 0.0000 0.5000 0.0000 [2 per cell]  2 H 2.22
Ni 0.0000 0.0000 0.5000 [1 per cell]  2 H 1.60
H 0.0000 0.0000 0.0000 [1 per cell]  2 Ni 1.60
Pt 0.5000 0.5000 0.5000 [1 per cell]  8 Mg 2.74

Values from the calculation:
**E**: -4.16 eV/atom
**Magnetization**: 0.0 μB per cell